VASP calculation (PBE) on a geometry-optimized K2YAlTe4 structure.

a b c (Å): 8.855 9.326 12.977
angles (deg): 90.00 90.00 90.00
Space group Imma (No. 74)
Inequivalent atoms, fractional coordinates:
K1 0.000 0.000 0.000 [4 per cell]
K2 0.250 0.250 0.250 [4 per cell]
Y1 0.000 0.000 0.500 [4 per cell]
Al1 0.250 0.250 0.750 [4 per cell]
Te1 0.000 0.046 0.741 [8 per cell]
Te2 0.231 0.250 0.521 [8 per cell]

Summary:
Formation energy from raw total energies in eV per atom: -0.949
Calculated density in g cm⁻³: 4.4
Total energy in Ry per atom: -0.29911



VASP calculation (PBE) on a geometry-optimized CaNiRu structure.

a b c (Å): 4.801 10.250 17.702
angles (deg): 90.00 90.00 90.00
Space group Fmmm (No. 69)
Inequivalent atoms, fractional coordinates:
Ca1 0.000 0.150 0.123 [16 per cell]
Ni1 0.000 0.119 0.278 [16 per cell]
Ru1 0.000 0.000 0.404 [8 per cell]
Ru2 0.000 0.172 0.500 [8 per cell]

Summary:
Energy relative to the elements in kJ per mole of atoms: 28.8
Offset from the most stable computed form in eV/atom: 0.360
Calculated density in g cm⁻³: 6.1
Total energy in Ry per atom: -0.39599



VASP calculation (PBE) on a geometry-optimized Pm2HoEr12 structure.

a b c (Å): 6.408 6.408 24.507
angles (deg): 90.00 90.00 90.00
Space group P4/nbm (No. 125, origin choice 2)
Inequivalent atoms, fractional coordinates:
Pm1 0.250 0.750 0.238 [4 per cell]
Ho1 0.250 0.750 0.500 [2 per cell]
Er1 0.001 0.501 0.389 [8 per cell]
Er2 0.081 0.581 0.939 [8 per cell]
Er3 0.250 0.250 0.162 [4 per cell]
Er4 0.250 0.250 0.288 [4 per cell]

Summary:
Energy relative to the elements in kJ per mole of atoms: 36.2
Calculated density in g cm⁻³: 8.1
Total energy in Ry per atom: -0.30968



VASP calculation (PBE) on a geometry-optimized Cu2IrPt structure.

a b c (Å): 2.759 4.450 8.906
angles (deg): 90.00 90.00 90.00
Space group Imm2 (No. 44)
Inequivalent atoms, fractional coordinates:
Cu1 0.000 0.000 0.000 [2 per cell]
Cu2 0.000 0.500 0.264 [2 per cell]
Ir1 0.000 0.500 0.751 [2 per cell]
Pt1 0.000 0.000 0.510 [2 per cell]

Summary:
Energy relative to the elements in kJ per mole of atoms: 9.7
Offset from the most stable computed form in eV/atom: 0.142
Calculated density in g cm⁻³: 15.6
Total energy in Ry per atom: -0.41698



VASP calculation (PBE) on a geometry-optimized NaMgPaO4 structure.

a b c (Å): 6.397 7.150 8.978
angles (deg): 90.00 90.00 90.00
Space group Imma (No. 74)
Inequivalent atoms, fractional coordinates:
Na1 0.000 0.250 0.141 [4 per cell]
Mg1 0.250 0.250 0.750 [4 per cell]
Pa1 0.000 0.000 0.500 [4 per cell]
O1 0.000 0.046 0.732 [8 per cell]
O2 0.212 0.250 0.506 [8 per cell]

Summary:
Formation energy from raw total energies in eV per atom: -2.907
Calculated density in g cm⁻³: 5.5
Total energy in Ry per atom: -0.55222



VASP calculation (PBE) on a geometry-optimized Pm2Pr4Tm structure.

a b c (Å): 5.7865 5.7865 25.2774
angles (deg): 90.00 90.00 120.00
Space group R-3m (No. 166, hexagonal axes)
Inequivalent atoms, fractional coordinates:
Pm1 0.0000 0.0000 0.1351 [6 per cell]
Pr1 0.0000 0.0000 0.2711 [6 per cell]
Pr2 0.0000 0.0000 0.4125 [6 per cell]
Tm1 0.0000 0.0000 0.0000 [3 per cell]

Summary:
Energy relative to the elements in kJ per mole of atoms: 12.1
Offset from the most stable computed form in eV/atom: 0.065
Calculated density in g cm⁻³: 6.9
Total energy in Ry per atom: -0.33822



VASP calculation (PBE) on a geometry-optimized Sr2TiSbI structure.

a b c (Å): 6.099 6.099 6.066
angles (deg): 90.00 90.00 90.00
Space group P4/mmm (No. 123)
Inequivalent atoms, fractional coordinates:
Sr1 0.000 0.500 0.000 [2 per cell]
Ti1 0.000 0.000 0.500 [1 per cell]
Sb1 0.500 0.500 0.500 [1 per cell]
I1 0.500 0.500 0.000 [1 per cell]

Summary:
Formation energy from raw total energies in eV per atom: 0.492
Calculated density in g cm⁻³: 3.5
Total energy in Ry per atom: -0.21271



VASP calculation (PBE) on a geometry-optimized La2CuAs structure.

a b c (Å): 4.2943 4.2943 21.8260
angles (deg): 90.00 90.00 120.00
Space group R-3m (No. 166, hexagonal axes)
Inequivalent atoms, fractional coordinates:
La1 0.0000 0.0000 0.2468 [6 per cell]
Cu1 0.0000 0.0000 0.0000 [3 per cell]
As1 0.0000 0.0000 0.5000 [3 per cell]

Summary:
Energy relative to the elements in kJ per mole of atoms: -69.6
Calculated density in g cm⁻³: 6.0
Total energy in Ry per atom: -0.39477



VASP calculation (PBE) on a geometry-optimized MnBBr2 structure.

a b c (Å): 3.7260 3.7260 24.0259
angles (deg): 90.00 90.00 120.00
Space group R-3m (No. 166, hexagonal axes)
Inequivalent atoms, fractional coordinates:
Mn1 0.0000 0.0000 0.0000 [3 per cell]
B1 0.0000 0.0000 0.5000 [3 per cell]
Br1 0.0000 0.0000 0.1003 [6 per cell]

Summary:
Formation energy from raw total energies in eV per atom: 0.933
Offset from the most stable computed form in eV/atom: 0.000
Calculated density in g cm⁻³: 3.9
Total energy in Ry per atom: -0.28407



VASP calculation (PBE) on a geometry-optimized NaSi2Bi2 structure.

a b c (Å): 8.135 8.135 3.854
angles (deg): 90.00 90.00 90.00
Space group P4/mbm (No. 127)
Inequivalent atoms, fractional coordinates:
Na1 0.000 0.000 0.000 [2 per cell]
Si1 0.107 0.393 0.000 [4 per cell]
Bi1 0.175 0.675 0.500 [4 per cell]

Summary:
Formation energy from raw total energies in eV per atom: 0.256
Offset from the most stable computed form in eV/atom: 0.070
Calculated density in g cm⁻³: 6.5
Total energy in Ry per atom: -0.27408



VASP calculation (PBE) on a geometry-optimized Pu2IrPd2 structure.

a b c (Å): 8.111 4.675 5.868
angles (deg): 90.00 117.64 90.00
Space group C2/m (No. 12)
Inequivalent atoms, fractional coordinates:
Pu1 0.100 0.000 0.301 [4 per cell]
Ir1 0.000 0.500 0.500 [2 per cell]
Pd1 0.179 0.500 0.038 [4 per cell]

Summary:
Energy relative to the elements in kJ per mole of atoms: -40.4
Calculated density in g cm⁻³: 15.0
Total energy in Ry per atom: -0.73508



VASP calculation (PBE) on a geometry-optimized Y3Mg4S8 structure.

a b c (Å): 10.783 10.795 7.620
angles (deg): 90.00 134.57 90.00
Space group C2/m (No. 12)
Inequivalent atoms, fractional coordinates:
Y1 0.000 0.000 0.000 [2 per cell]
Y2 0.250 0.250 0.500 [4 per cell]
Mg1 0.000 0.500 0.000 [2 per cell]
Mg2 0.000 0.500 0.500 [2 per cell]
Mg3 0.250 0.250 0.000 [4 per cell]
S1 0.000 0.256 0.000 [4 per cell]
S2 0.000 0.257 0.500 [4 per cell]
S3 0.234 0.500 0.979 [4 per cell]
S4 0.241 0.500 0.490 [4 per cell]

Summary:
Formation energy from raw total energies in eV per atom: -1.668
Calculated density in g cm⁻³: 3.3
Total energy in Ry per atom: -0.41063



VASP calculation (PBE) on a geometry-optimized Tb2DyTe structure.

a b c (Å): 3.954 12.113 9.878
angles (deg): 90.00 90.00 90.00
Space group Cmcm (No. 63)
Inequivalent atoms, fractional coordinates:
Tb1 0.000 0.135 0.037 [8 per cell]
Dy1 0.000 0.442 0.250 [4 per cell]
Te1 0.000 0.265 0.750 [4 per cell]

Summary:
Formation energy from raw total energies in eV per atom: -0.657
Offset from the most stable computed form in eV/atom: 0.000
Calculated density in g cm⁻³: 8.5
Total energy in Ry per atom: -0.36076



VASP calculation (PBE) on a geometry-optimized CaLa3Ag structure.

a b c (Å): 5.826 5.826 5.826
angles (deg): 90.00 90.00 90.00
Space group Pm-3m (No. 221)
Inequivalent atoms, fractional coordinates:
Ca1 0.000 0.000 0.000 [1 per cell]
La1 0.000 0.000 0.500 [3 per cell]
Ag1 0.500 0.500 0.500 [1 per cell]

Summary:
Energy relative to the elements in kJ per mole of atoms: 83.7
Offset from the most stable computed form in eV/atom: 0.663
Calculated density in g cm⁻³: 4.7
Total energy in Ry per atom: -0.22488



VASP calculation (PBE) on a geometry-optimized KLiTaTi2 structure.

a b c (Å): 4.829 4.829 4.718
angles (deg): 90.00 90.00 90.00
Space group P4/mmm (No. 123)
Inequivalent atoms, fractional coordinates:
K1 0.000 0.000 0.000 [1 per cell]
Li1 0.500 0.500 0.500 [1 per cell]
Ta1 0.500 0.500 0.000 [1 per cell]
Ti1 0.000 0.500 0.500 [2 per cell]

Summary:
Energy relative to the elements in kJ per mole of atoms: 148.7
Calculated density in g cm⁻³: 4.9
Total energy in Ry per atom: -0.33734



VASP calculation (PBE) on a geometry-optimized BAuSe2 structure.

a b c (Å): 4.4244 4.4244 18.6355
angles (deg): 90.00 90.00 120.00
Space group R-3m (No. 166, hexagonal axes)
Inequivalent atoms, fractional coordinates:
B1 0.0000 0.0000 0.0000 [3 per cell]
Au1 0.0000 0.0000 0.5000 [3 per cell]
Se1 0.0000 0.0000 0.0982 [6 per cell]

Summary:
Formation energy from raw total energies in eV per atom: 0.312
Calculated density in g cm⁻³: 5.8
Total energy in Ry per atom: -0.28801



VASP calculation (PBE) on a geometry-optimized CaYIrRh structure.

a b c (Å): 6.841 6.841 6.841
angles (deg): 90.00 90.00 90.00
Space group F-43m (No. 216)
Inequivalent atoms, fractional coordinates:
Ca1 0.000 0.000 0.000 [4 per cell]
Y1 0.000 0.000 0.500 [4 per cell]
Ir1 0.250 0.250 0.750 [4 per cell]
Rh1 0.250 0.250 0.250 [4 per cell]

Summary:
Energy relative to the elements in kJ per mole of atoms: -52.0
Calculated density in g cm⁻³: 8.8
Total energy in Ry per atom: -0.49307



VASP calculation (PBE) on a geometry-optimized NiRuPtW structure.

a b c (Å): 6.125 6.125 6.125
angles (deg): 90.00 90.00 90.00
Space group F-43m (No. 216)
Inequivalent atoms, fractional coordinates:
Ni1 0.000 0.000 0.000 [4 per cell]
Ru1 0.250 0.250 0.750 [4 per cell]
Pt1 0.250 0.250 0.250 [4 per cell]
W1 0.000 0.000 0.500 [4 per cell]

Summary:
Energy relative to the elements in kJ per mole of atoms: 3.8
Calculated density in g cm⁻³: 15.6
Total energy in Ry per atom: -0.62279



VASP calculation (PBE) on a geometry-optimized Cd3Ru structure.

a b c (Å): 3.010 3.010 8.654
angles (deg): 90.00 90.00 90.00
Space group P4/mmm (No. 123)
Inequivalent atoms, fractional coordinates:
Cd1 0.000 0.000 0.000 [1 per cell]
Cd2 0.500 0.500 0.279 [2 per cell]
Ru1 0.000 0.000 0.500 [1 per cell]

Summary:
Energy relative to the elements in kJ per mole of atoms: 24.4
Calculated density in g cm⁻³: 9.3
Total energy in Ry per atom: -0.20228



VASP calculation (PBE) on a geometry-optimized Y2TlPb structure.

a b c (Å): 7.189 8.743 3.549
angles (deg): 90.00 90.00 90.00
Space group Cmmm (No. 65)
Inequivalent atoms, fractional coordinates:
Y1 0.250 0.250 0.000 [4 per cell]
Tl1 0.000 0.000 0.500 [2 per cell]
Pb1 0.000 0.500 0.500 [2 per cell]

Summary:
Energy relative to the elements in kJ per mole of atoms: -40.4
Calculated density in g cm⁻³: 8.8
Total energy in Ry per atom: -0.37998